AlCdSb, relaxed, DFT GGA-PBE; final energy = -2.852 eV per atom; formation energy (no corrections) = 0.07 eV per atom
1.0
3.782 -2.146 0.000
3.782 2.146 0.000
-2.500 0.000 10.139
Al Cd Sb
2 2 2
Cartesian
-0.062 0.000 4.209
5.126 0.000 5.930
2.523 0.000 0.838
2.541 0.000 9.301
0.086 0.000 7.111
4.978 0.000 3.028

Al2CdSb2, relaxed, DFT GGA-PBE; final energy = -3.159 eV per atom; formation energy (no corrections) = 0.17 eV per atom
1.0
-2.493 2.493 5.303
2.493 -2.493 5.303
2.493 2.493 -5.303
Al Cd Sb
2 1 2
Cartesian
0.000 0.000 1.274
0.000 0.000 9.332
0.000 0.000 5.303
2.493 0.000 2.652
0.000 2.493 2.652

Al2CdSb, relaxed, DFT GGA-PBE; final energy = -2.944 eV per atom; formation energy (no corrections) = 0.19 eV per atom
1.0
4.385 -1.552 0.000
4.385 1.552 0.000
-0.849 0.000 6.554
Al Cd Sb
2 1 1
Cartesian
1.966 0.000 1.442
5.955 0.000 5.113
4.385 0.000 0.000
-0.425 0.000 3.277

AlCdSb2, relaxed, DFT GGA-PBE; final energy = -3.217 eV per atom; formation energy (no corrections) = 0.01 eV per atom
1.0
-3.235 3.235 6.223
3.235 -3.235 6.223
3.235 3.235 -6.223
Al Cd Sb
2 2 4
Cartesian
0.000 0.000 0.000
0.000 3.235 3.112
3.235 0.000 3.112
0.000 0.000 6.223
4.853 1.491 -1.556
1.491 1.618 1.556
-1.618 1.744 4.668
1.744 1.618 7.779

AlCd2Sb, relaxed, DFT GGA-PBE; final energy = -2.263 eV per atom; formation energy (no corrections) = 0.16 eV per atom
1.0
1.684 0.972 9.495
-1.684 0.972 9.495
0.000 -1.945 9.495
Al Cd Sb
1 2 1
Cartesian
0.000 0.000 0.000
0.000 0.000 7.328
0.000 0.000 21.157
0.000 0.000 14.243

AlCdSb, relaxed, DFT GGA-PBE; final energy = -2.718 eV per atom; formation energy (no corrections) = 0.21 eV per atom
1.0
-1.864 1.864 5.092
1.864 -1.864 5.092
1.864 1.864 -5.092
Al Cd Sb
1 1 1
Cartesian
0.000 0.000 0.000
0.000 0.000 6.835
0.000 0.000 3.696

Al2CdSb, relaxed, DFT GGA-PBE; final energy = -2.962 eV per atom; formation energy (no corrections) = 0.17 eV per atom
1.0
3.158 0.000 0.000
0.000 3.912 0.000
0.000 0.000 7.130
Al Cd Sb
2 1 1
Cartesian
0.000 0.000 0.000
1.579 1.956 1.381
0.000 0.000 3.127
1.579 1.956 5.468

Al2CdSb, relaxed, DFT GGA-PBE; final energy = -2.885 eV per atom; formation energy (no corrections) = 0.25 eV per atom
1.0
0.000 3.551 3.551
3.551 0.000 3.551
3.551 3.551 0.000
Al Cd Sb
2 1 1
Cartesian
0.000 0.000 0.000
1.776 1.776 1.776
3.551 3.551 3.551
5.327 5.327 5.327

AlCd2Sb, relaxed, DFT GGA-PBE; final energy = -2.333 eV per atom; formation energy (no corrections) = 0.09 eV per atom
1.0
2.981 0.000 0.000
0.000 3.732 0.000
-0.022 0.000 8.575
Al Cd Sb
1 2 1
Cartesian
0.000 0.000 0.000
1.468 1.866 6.723
2.960 0.000 4.648
2.972 1.866 2.151

AlCd2Sb2, relaxed, DFT GGA-PBE; final energy = -2.484 eV per atom; formation energy (no corrections) = 0.28 eV per atom
1.0
8.611 0.000 0.000
0.000 8.611 0.000
0.000 0.000 3.511
Al Cd Sb
2 4 4
Cartesian
0.000 0.000 0.000
4.305 4.305 0.000
1.139 3.166 0.000
3.166 7.472 0.000
5.444 1.139 0.000
7.472 5.444 0.000
1.435 5.741 1.755
2.870 1.435 1.755
5.741 7.176 1.755
7.176 2.870 1.755

AlCdSb2, relaxed, DFT GGA-PBE; final energy = -3.086 eV per atom; formation energy (no corrections) = 0.14 eV per atom
1.0
-1.935 2.083 6.384
1.935 -2.083 6.384
1.935 2.083 -6.384
Al Cd Sb
1 1 2
Cartesian
0.000 0.000 0.000
1.935 0.000 2.975
0.000 0.000 7.072
0.000 2.083 4.265

Al2CdSb, relaxed, DFT GGA-PBE; final energy = -2.905 eV per atom; formation energy (no corrections) = 0.23 eV per atom
1.0
-2.198 2.198 4.534
2.198 -2.198 4.534
2.198 2.198 -4.534
Al Cd Sb
2 1 1
Cartesian
0.000 0.000 0.000
0.000 2.198 2.267
2.198 0.000 2.267
0.000 0.000 4.534

AlCd3Sb, relaxed, DFT GGA-PBE; final energy = -1.669 eV per atom; formation energy (no corrections) = 0.45 eV per atom
1.0
5.215 0.000 0.000
0.000 5.215 0.000
0.000 0.000 5.215
Al Cd Sb
1 3 1
Cartesian
0.000 0.000 0.000
0.000 0.000 2.607
0.000 2.607 0.000
2.607 0.000 0.000
2.607 2.607 2.607

Al3CdSb, relaxed, DFT GGA-PBE; final energy = -2.608 eV per atom; formation energy (no corrections) = 0.65 eV per atom
1.0
5.055 0.000 0.000
0.000 5.055 0.000
0.000 0.000 5.055
Al Cd Sb
3 1 1
Cartesian
0.000 0.000 2.528
0.000 2.528 0.000
2.528 0.000 0.000
0.000 0.000 0.000
2.528 2.528 2.528

AlCd2Sb, relaxed, DFT GGA-PBE; final energy = -2.281 eV per atom; formation energy (no corrections) = 0.14 eV per atom
1.0
5.096 -1.605 0.000
5.096 1.605 0.000
-1.120 0.000 5.700
Al Cd Sb
1 2 1
Cartesian
0.000 0.000 0.000
4.444 0.000 2.662
7.232 0.000 1.500
1.671 0.000 4.450

AlCdSb, relaxed, DFT GGA-PBE; final energy = -2.748 eV per atom; formation energy (no corrections) = 0.18 eV per atom
1.0
-1.542 1.907 6.011
1.542 -1.907 6.011
1.542 1.907 -6.011
Al Cd Sb
1 1 1
Cartesian
0.000 0.000 0.000
0.000 0.000 7.847
0.000 0.000 4.233

AlCd2Sb, relaxed, DFT GGA-PBE; final energy = -2.225 eV per atom; formation energy (no corrections) = 0.20 eV per atom
1.0
-4.046 4.046 2.997
4.046 -4.046 2.997
4.046 4.046 -2.997
Al Cd Sb
2 4 2
Cartesian
0.000 0.000 0.000
0.000 4.046 1.498
6.070 1.926 -0.749
1.926 2.023 0.749
-2.023 2.120 2.247
2.120 2.023 3.746
4.046 0.000 1.498
0.000 0.000 2.997

AlCdSb2, relaxed, DFT GGA-PBE; final energy = -3.070 eV per atom; formation energy (no corrections) = 0.16 eV per atom
1.0
1.700 0.981 10.129
-1.700 0.981 10.129
0.000 -1.963 10.129
Al Cd Sb
1 1 2
Cartesian
0.000 0.000 0.000
0.000 0.000 22.390
0.000 0.000 7.977
0.000 0.000 14.585

AlCdSb2, relaxed, DFT GGA-PBE; final energy = -3.043 eV per atom; formation energy (no corrections) = 0.18 eV per atom
1.0
1.981 -2.475 0.000
1.981 2.475 0.000
0.000 0.000 9.979
Al Cd Sb
1 1 2
Cartesian
0.000 0.000 0.000
1.981 0.000 7.809
0.000 0.000 5.338
1.981 0.000 2.206

Al2CdSb2, relaxed, DFT GGA-PBE; final energy = -3.258 eV per atom; formation energy (no corrections) = 0.07 eV per atom
1.0
-2.136 2.136 7.629
2.136 -2.136 7.629
2.136 2.136 -7.629
Al Cd Sb
2 1 2
Cartesian
2.136 0.000 3.814
0.000 2.136 3.814
0.000 0.000 0.000
0.000 0.000 5.616
0.000 0.000 9.641

AlCd2Sb, relaxed, DFT GGA-PBE; final energy = -2.260 eV per atom; formation energy (no corrections) = 0.16 eV per atom
1.0
3.215 0.000 0.000
0.000 5.295 0.000
0.000 0.000 5.520
Al Cd Sb
1 2 1
Cartesian
0.000 0.000 0.000
0.000 2.648 2.760
1.607 0.000 2.760
1.607 2.648 0.000

AlCd2Sb, relaxed, DFT GGA-PBE; final energy = -2.289 eV per atom; formation energy (no corrections) = 0.13 eV per atom
1.0
-1.741 2.273 6.182
1.741 -2.273 6.182
1.741 2.273 -6.182
Al Cd Sb
1 2 1
Cartesian
0.000 0.000 0.000
1.741 0.000 2.525
0.000 0.000 6.544
0.000 2.273 3.881

Al2CdSb, relaxed, DFT GGA-PBE; final energy = -3.021 eV per atom; formation energy (no corrections) = 0.11 eV per atom
1.0
3.024 0.000 0.000
0.000 3.359 0.000
0.000 0.000 8.686
Al Cd Sb
2 1 1
Cartesian
0.000 0.000 0.000
1.512 1.679 1.704
1.512 1.679 6.721
1.512 0.000 4.055

Al2CdSb, relaxed, DFT GGA-PBE; final energy = -2.918 eV per atom; formation energy (no corrections) = 0.21 eV per atom
1.0
3.396 -4.026 0.000
3.396 4.026 0.000
0.000 0.000 3.196
Al Cd Sb
2 1 1
Cartesian
1.698 2.013 0.000
1.698 -2.013 0.000
0.000 0.000 1.598
3.396 0.000 1.598

Al2CdSb, relaxed, DFT GGA-PBE; final energy = -2.927 eV per atom; formation energy (no corrections) = 0.20 eV per atom
1.0
3.219 0.000 0.000
0.000 3.981 0.000
0.000 0.000 6.811
Al Cd Sb
2 1 1
Cartesian
0.000 0.000 1.617
0.000 0.000 5.194
1.610 1.990 0.000
1.610 1.990 3.405

Al2Cd2Sb, relaxed, DFT GGA-PBE; final energy = -2.456 eV per atom; formation energy (no corrections) = 0.23 eV per atom
1.0
-2.023 2.023 7.037
2.023 -2.023 7.037
2.023 2.023 -7.037
Al Cd Sb
2 2 1
Cartesian
2.023 0.000 3.518
0.000 2.023 3.518
0.000 0.000 1.450
0.000 0.000 12.623
0.000 0.000 7.037

AlCdSb2, relaxed, DFT GGA-PBE; final energy = -3.023 eV per atom; formation energy (no corrections) = 0.20 eV per atom
1.0
3.243 -4.870 0.000
3.243 4.870 0.000
-0.837 0.000 3.115
Al Cd Sb
1 1 2
Cartesian
0.000 0.000 0.000
3.243 0.000 0.000
1.203 2.435 1.557
1.203 -2.435 1.557

Al2CdSb2, relaxed, DFT GGA-PBE; final energy = -3.144 eV per atom; formation energy (no corrections) = 0.19 eV per atom
1.0
8.245 0.000 0.000
0.000 8.245 0.000
0.000 0.000 3.552
Al Cd Sb
4 2 4
Cartesian
1.082 3.041 0.000
3.041 7.164 0.000
5.204 1.082 0.000
7.164 5.204 0.000
0.000 0.000 1.776
4.123 4.123 1.776
1.346 5.469 1.776
2.776 1.346 1.776
5.469 6.899 1.776
6.899 2.776 1.776

AlCd2Sb, relaxed, DFT GGA-PBE; final energy = -2.257 eV per atom; formation energy (no corrections) = 0.17 eV per atom
1.0
-2.372 2.372 4.169
2.372 -2.372 4.169
2.372 2.372 -4.169
Al Cd Sb
1 2 1
Cartesian
0.000 0.000 0.000
2.372 0.000 2.084
0.000 0.000 4.169
0.000 2.372 2.084